## Rb3GeBr (GGA-PBE)

Data for a relaxed structure of Rb3GeBr.

Output
total magnetization	2.000	μB per cell
formation energy without anion corrections	-0.39	eV per atom
ΔE to the lowest computed polymorph	0	meV/atom

Lattice parameters (Å, degrees): 6.510 6.510 6.510 90.00 90.00 90.00
Site moments in Bohr magnetons follow the coordinates.
Element x y z (fractional)
1 Ge 0.500 0.500 0.500  0.59
2 Br 0.000 0.000 0.000  0.01
3 Rb 0.000 0.000 0.500  0.00
4 Rb 0.500 0.000 0.000  0.01
5 Rb 0.000 0.500 0.000  0.01


## Rb3Ge2Br9 (GGA-PBE)

Data for a relaxed structure of Rb3Ge2Br9.

Output
total magnetization	0.000	μB per cell
formation energy without anion corrections	-1.06	eV per atom

Lattice parameters (Å, degrees): 7.665 7.665 9.412 90.00 90.00 120.00
Element x y z (fractional)
1 Br 0.500 0.500 0.000
2 Br 0.652 0.826 0.675
3 Br 0.826 0.652 0.325
4 Br 0.174 0.348 0.675
5 Rb 0.000 0.000 0.000
6 Br 0.000 0.500 0.000
7 Br 0.174 0.826 0.675
8 Br 0.826 0.174 0.325
9 Ge 0.667 0.333 0.181
10 Ge 0.333 0.667 0.819
11 Rb 0.667 0.333 0.666
12 Br 0.500 0.000 0.000
13 Br 0.348 0.174 0.325
14 Rb 0.333 0.667 0.334


## RbGe2Br4 (GGA-PBE)

Data for a relaxed structure of RbGe2Br4.

Output
total magnetization	1.047	μB per cell
formation energy without anion corrections	-0.54	eV per atom

Lattice parameters (Å, degrees): 7.324 7.324 7.324 107.46 107.46 113.57
Site moments in Bohr magnetons follow the coordinates.
Element x y z (fractional)
1 Ge 0.250 0.750 0.500  0.19
2 Br 0.326 0.143 0.469  0.01
3 Br 0.674 0.857 0.531  0.01
4 Rb 0.500 0.500 0.000  0.00
5 Ge 0.750 0.250 0.500  0.19
6 Br 0.143 0.674 0.817  0.01
7 Br 0.857 0.326 0.183  0.01


## Rb3Ge2Br7 (GGA-PBE)

Data for a relaxed structure of Rb3Ge2Br7.

Output
total magnetization	0.000	μB per cell
formation energy without anion corrections	-1.19	eV per atom
ΔE to the lowest computed polymorph	0	meV/atom

Lattice parameters (Å, degrees): 13.046 10.418 13.471 78.18 90.00 90.00
Element x y z (fractional)
1 Br 0.316 0.095 0.301
2 Br 0.061 0.435 0.804
3 Ge 0.053 0.645 0.566
4 Br 0.563 0.191 0.103
5 Ge 0.989 0.808 0.144
6 Rb 0.190 0.391 0.195
7 Ge 0.011 0.192 0.856
8 Rb 0.690 0.609 0.305
9 Br 0.561 0.565 0.696
10 Br 0.647 0.583 0.039
11 Br 0.353 0.417 0.961
12 Rb 0.824 0.947 0.465
13 Br 0.939 0.831 0.957
14 Br 0.937 0.191 0.603
15 Br 0.226 0.723 0.112
16 Rb 0.319 0.733 0.358
17 Ge 0.947 0.355 0.434
18 Br 0.061 0.169 0.043
19 Rb 0.176 0.053 0.535
20 Br 0.495 0.182 0.831
21 Rb 0.810 0.609 0.805
22 Br 0.561 0.831 0.457
23 Br 0.684 0.905 0.699
24 Br 0.505 0.818 0.169
25 Br 0.853 0.583 0.539
26 Ge 0.553 0.355 0.934
27 Br 0.147 0.417 0.461
28 Rb 0.181 0.733 0.858
29 Rb 0.676 0.947 0.965
30 Br 0.774 0.277 0.888
31 Br 0.995 0.818 0.669
32 Br 0.184 0.095 0.801
33 Br 0.816 0.905 0.199
34 Ge 0.489 0.192 0.356
35 Rb 0.310 0.391 0.695
36 Rb 0.681 0.267 0.642
37 Ge 0.447 0.645 0.066
38 Br 0.063 0.809 0.397
39 Br 0.005 0.182 0.331
40 Ge 0.511 0.808 0.644
41 Rb 0.324 0.053 0.035
42 Br 0.439 0.169 0.543
43 Rb 0.819 0.267 0.142
44 Br 0.726 0.277 0.388
45 Br 0.939 0.565 0.196
46 Br 0.437 0.809 0.897
47 Br 0.439 0.435 0.304
48 Br 0.274 0.723 0.612


Which of these has the lowest formation energy without anion corrections?
Rb3Ge2Br7


Among the records above, which one has the highest total magnetization?
Rb3GeBr


What did the fourth record say?
## Rb3Ge2Br7 (GGA-PBE)

Data for a relaxed structure of Rb3Ge2Br7.

Output
total magnetization	0.000	μB per cell
formation energy without anion corrections	-1.19	eV per atom
ΔE to the lowest computed polymorph	0	meV/atom

Lattice parameters (Å, degrees): 13.046 10.418 13.471 78.18 90.00 90.00
Element x y z (fractional)
1 Br 0.316 0.095 0.301
2 Br 0.061 0.435 0.804
3 Ge 0.053 0.645 0.566
4 Br 0.563 0.191 0.103
5 Ge 0.989 0.808 0.144
6 Rb 0.190 0.391 0.195
7 Ge 0.011 0.192 0.856
8 Rb 0.690 0.609 0.305
9 Br 0.561 0.565 0.696
10 Br 0.647 0.583 0.039
11 Br 0.353 0.417 0.961
12 Rb 0.824 0.947 0.465
13 Br 0.939 0.831 0.957
14 Br 0.937 0.191 0.603
15 Br 0.226 0.723 0.112
16 Rb 0.319 0.733 0.358
17 Ge 0.947 0.355 0.434
18 Br 0.061 0.169 0.043
19 Rb 0.176 0.053 0.535
20 Br 0.495 0.182 0.831
21 Rb 0.810 0.609 0.805
22 Br 0.561 0.831 0.457
23 Br 0.684 0.905 0.699
24 Br 0.505 0.818 0.169
25 Br 0.853 0.583 0.539
26 Ge 0.553 0.355 0.934
27 Br 0.147 0.417 0.461
28 Rb 0.181 0.733 0.858
29 Rb 0.676 0.947 0.965
30 Br 0.774 0.277 0.888
31 Br 0.995 0.818 0.669
32 Br 0.184 0.095 0.801
33 Br 0.816 0.905 0.199
34 Ge 0.489 0.192 0.356
35 Rb 0.310 0.391 0.695
36 Rb 0.681 0.267 0.642
37 Ge 0.447 0.645 0.066
38 Br 0.063 0.809 0.397
39 Br 0.005 0.182 0.331
40 Ge 0.511 0.808 0.644
41 Rb 0.324 0.053 0.035
42 Br 0.439 0.169 0.543
43 Rb 0.819 0.267 0.142
44 Br 0.726 0.277 0.388
45 Br 0.939 0.565 0.196
46 Br 0.437 0.809 0.897
47 Br 0.439 0.435 0.304
48 Br 0.274 0.723 0.612